[1]
SmPu2ZrSe4 | GGA-PBE | relaxed

**Crystal system**: monoclinic

Cell: 7.0426 4.0598 7.0882 Å, 90.00 109.22 90.00°
Last column: nearest neighbours and their distance in Å.
Space group P2/m (No. 10)
Unique sites:
Sm 0.0000 0.0000 0.0000 x1  6 Se 2.90
Pu 0.0000 0.5000 0.5000 x1  6 Se 2.94
Pu 0.5000 0.0000 0.5000 x1  6 Se 2.86-2.87
Zr 0.5000 0.5000 0.0000 x1  6 Se 2.82
Se 0.2577 0.5000 0.2477 x2  1 Zr 2.82, 3 Pu 2.87-2.94, 2 Sm 2.90
Se 0.2616 0.0000 0.7585 x2  2 Zr 2.82, 3 Pu 2.86-2.94, 1 Sm 2.90

=====

[2]
PuSnSe2 | GGA-PBE | relaxed

**Crystal system**: trigonal

Cell: 4.0844 4.0844 22.6795 Å, 90.00 90.00 120.00°
Last column: nearest neighbours and their distance in Å.
Space group R3m (No. 160, hexagonal axes)
Unique sites:
Pu 0.0000 0.0000 0.0000 x3  6 Se 2.95-3.01
Sn 0.0000 0.0000 0.1662 x3  6 Se 3.02-3.10
Se 0.0000 0.0000 0.5882 x3  3 Pu 2.95, 3 Sn 3.10
Se 0.0000 0.0000 0.7495 x3  3 Pu 3.01, 3 Sn 3.02

=====

[3]
Pu2SnSe5 | GGA-PBE | relaxed

**Distance to the lowest polymorph of the same formula**: 78 meV/atom
**Crystal system**: orthorhombic

Cell: 5.6130 13.3948 13.8991 Å, 90.00 90.00 90.00°
Last column: nearest neighbours and their distance in Å.
Space group Cmcm (No. 63)
Unique sites:
Pu 0.0000 0.1469 0.0587 x8  6 Se 2.76-2.94
Sn 0.0000 0.2080 0.7500 x4  6 Se 2.81-3.12
Se 0.0000 0.0497 0.6171 x8  2 Pu 2.76-2.77, 1 Sn 2.81
Se 0.0000 0.2412 0.2500 x4  2 Sn 2.89, 2 Pu 2.94
Se 0.0000 0.3251 0.5558 x8  3 Pu 2.83-2.87, 1 Sn 3.12

=====

[4]
PuSnSe3 | GGA-PBE | relaxed

**Crystal system**: orthorhombic

Cell: 5.4350 11.1522 9.0596 Å, 90.00 90.00 90.00°
Last column: nearest neighbours and their distance in Å.
Space group Imma (No. 74)
Unique sites:
Pu 0.0000 0.0000 0.0000 x4  8 Se 2.91-3.15
Sn 0.0000 0.2500 0.4964 x4  4 Se 2.69-2.83
Se 0.0000 0.0517 0.6650 x8  1 Sn 2.69
Se 0.0000 0.2500 0.0911 x4  2 Sn 2.83, 2 Pu 2.91

=====

[5]
PuSnSe2 | GGA-PBE | relaxed

**Crystal system**: orthorhombic

Cell: 7.5271 3.8978 13.6056 Å, 90.00 90.00 90.00°
Last column: nearest neighbours and their distance in Å.
Space group Pnma (No. 62)
Unique sites:
Pu 0.0014 0.2500 0.1750 x4  7 Se 2.94-3.05
Sn 0.0738 0.7500 0.5825 x4  2 Se 2.91, 2 Sn 3.17
Se 0.1547 0.7500 0.0322 x4  2 Sn 2.91, 3 Pu 2.98-3.05, 2 Se 3.16
Se 0.2152 0.7500 0.2906 x4  4 Pu 2.94-2.98

=====

[6]
Pu3Sn5Se12 | GGA-PBE | relaxed

**Crystal system**: cubic

Cell: 16.7812 16.7812 16.7812 Å, 90.00 90.00 90.00°
Last column: nearest neighbours and their distance in Å.
Space group Ia-3d (No. 230)
Unique sites:
Pu 0.0000 0.2500 0.1250 x24  8 Se 3.10-3.12
Sn 0.0000 0.0000 0.0000 x16  6 Se 2.86
Sn 0.0000 0.2500 0.3750 x24  4 Se 2.64
Se 0.0186 0.0677 0.6555 x96  2 Sn 2.64-2.86

=====

For reference, spin magnetization by record: 11.317 6.000 8.438 4.780 4.938 15.415 μB/f.u..
For reference, formation energy from raw total energies by record: -12.0 -3.4 -7.8 -3.7 -3.7 -14.1 eV/f.u..
For reference, V by record: 23.9 27.3 32.7 27.5 24.9 29.5 Å³ per atom.